Material: Ac4GaRuI2
Method: DFT, PBE
State: relaxed

Values from the calculation:
Volume, Å³ per atom: 37.67
Uncorrected energy, eV per atom: -4.732
Space group: P2/m (10)
Formation energy without anion corrections, eV/atom: -0.752

Unit cell a=7.889 b=4.482 c=8.909 alpha=90.00 beta=106.94 gamma=90.00
Positions (direct):
Ac  0.219  0.000  0.187
Ac  0.240  0.500  0.809
Ac  0.760  0.500  0.191
Ac  0.781  0.000  0.813
Ga  0.500  0.000  0.000
Ru  0.000  0.500  0.000
I  0.000  0.000  0.500
I  0.500  0.500  0.500

=====

Material: Ac8GaRu3I4
Method: DFT, PBE
State: relaxed

Values from the calculation:
Volume, Å³ per atom: 36.64
Uncorrected energy, eV per atom: -5.111
Space group: R-3m (166)
Formation energy without anion corrections, eV/atom: -0.740

Unit cell a=10.001 b=10.001 c=10.001 alpha=52.71 beta=52.71 gamma=52.71
Positions (direct):
Ac  0.209  0.737  0.737
Ac  0.231  0.231  0.231
Ac  0.263  0.263  0.791
Ac  0.263  0.791  0.263
Ac  0.737  0.209  0.737
Ac  0.737  0.737  0.209
Ac  0.769  0.769  0.769
Ac  0.791  0.263  0.263
Ga  0.500  0.500  0.500
Ru  0.000  0.000  0.500
Ru  0.000  0.500  0.000
Ru  0.500  0.000  0.000
I  0.000  0.000  0.000
I  0.000  0.500  0.500
I  0.500  0.000  0.500
I  0.500  0.500  0.000

=====

Material: Ac6Ga2SI3
Method: DFT, PBE
State: relaxed

Values from the calculation:
Volume, Å³ per atom: 36.79
Uncorrected energy, eV per atom: -4.310
Space group: C2/m (12)
Formation energy without anion corrections, eV/atom: -1.020

Unit cell a=7.874 b=7.874 c=8.630 alpha=98.75 beta=98.75 gamma=119.99
Positions (direct):
Ac  0.067  0.397  0.202
Ac  0.262  0.262  0.797
Ac  0.397  0.067  0.202
Ac  0.603  0.933  0.798
Ac  0.738  0.738  0.203
Ac  0.933  0.603  0.798
Ga  0.334  0.666  0.000
Ga  0.666  0.334  0.000
S  0.000  0.000  0.000
I  0.171  0.829  0.500
I  0.500  0.500  0.500
I  0.829  0.171  0.500

=====

Material: Ac4GaSI2
Method: DFT, PBE
State: relaxed

Values from the calculation:
Volume, Å³ per atom: 35.96
Uncorrected energy, eV per atom: -4.470
Space group: P2/m (10)
Formation energy without anion corrections, eV/atom: -1.134

Unit cell a=7.643 b=4.557 c=8.697 alpha=90.00 beta=108.24 gamma=90.00
Positions (direct):
Ac  0.227  0.000  0.197
Ac  0.259  0.500  0.800
Ac  0.741  0.500  0.200
Ac  0.773  0.000  0.803
Ga  0.500  0.000  0.000
S  0.000  0.500  0.000
I  0.000  0.000  0.500
I  0.500  0.500  0.500

=====

Material: Ac8Ga3SI4
Method: DFT, PBE
State: relaxed

Values from the calculation:
Volume, Å³ per atom: 37.22
Uncorrected energy, eV per atom: -4.215
Space group: R-3m (166)
Formation energy without anion corrections, eV/atom: -0.947

Unit cell a=9.695 b=9.695 c=9.695 alpha=56.72 beta=56.72 gamma=56.72
Positions (direct):
Ac  0.235  0.235  0.235
Ac  0.236  0.734  0.734
Ac  0.266  0.266  0.764
Ac  0.266  0.764  0.266
Ac  0.734  0.236  0.734
Ac  0.734  0.734  0.236
Ac  0.764  0.266  0.266
Ac  0.765  0.765  0.765
Ga  0.000  0.000  0.500
Ga  0.000  0.500  0.000
Ga  0.500  0.000  0.000
S  0.500  0.500  0.500
I  0.000  0.000  0.000
I  0.000  0.500  0.500
I  0.500  0.000  0.500
I  0.500  0.500  0.000

=====

Material: Ac8Ga3SeI4
Method: DFT, PBE
State: relaxed

Values from the calculation:
Volume, Å³ per atom: 37.78
Uncorrected energy, eV per atom: -4.166
Space group: R-3m (166)
Formation energy without anion corrections, eV/atom: -0.939

Unit cell a=9.667 b=9.667 c=9.667 alpha=57.66 beta=57.66 gamma=57.66
Positions (direct):
Ac  0.229  0.739  0.739
Ac  0.235  0.235  0.235
Ac  0.261  0.261  0.771
Ac  0.261  0.771  0.261
Ac  0.739  0.229  0.739
Ac  0.739  0.739  0.229
Ac  0.765  0.765  0.765
Ac  0.771  0.261  0.261
Ga  0.000  0.000  0.500
Ga  0.000  0.500  0.000
Ga  0.500  0.000  0.000
Se  0.500  0.500  0.500
I  0.000  0.000  0.000
I  0.000  0.500  0.500
I  0.500  0.000  0.500
I  0.500  0.500  0.000

=====

Material: Ac6Ga2SeI3
Method: DFT, PBE
State: relaxed

Values from the calculation:
Volume, Å³ per atom: 37.51
Uncorrected energy, eV per atom: -4.239
Space group: C2/m (12)
Formation energy without anion corrections, eV/atom: -1.003

Unit cell a=8.005 b=8.005 c=8.538 alpha=98.99 beta=98.99 gamma=120.00
Positions (direct):
Ac  0.093  0.431  0.794
Ac  0.229  0.229  0.204
Ac  0.431  0.093  0.794
Ac  0.569  0.907  0.206
Ac  0.771  0.771  0.796
Ac  0.907  0.569  0.206
Ga  0.167  0.833  0.000
Ga  0.833  0.167  0.000
Se  0.500  0.500  0.000
I  0.000  0.000  0.500
I  0.333  0.667  0.500
I  0.667  0.333  0.500

=====

Material: Ac4GaSiI2
Method: DFT, PBE
State: relaxed

Values from the calculation:
Volume, Å³ per atom: 37.84
Uncorrected energy, eV per atom: -4.336
Space group: P2/m (10)
Formation energy without anion corrections, eV/atom: -0.838

Unit cell a=8.094 b=4.661 c=8.466 alpha=90.00 beta=108.58 gamma=90.00
Positions (direct):
Ac  0.232  0.000  0.203
Ac  0.264  0.500  0.795
Ac  0.736  0.500  0.205
Ac  0.768  0.000  0.797
Ga  0.500  0.000  0.000
Si  0.000  0.500  0.000
I  0.000  0.000  0.500
I  0.500  0.500  0.500

=====

Material: Ac8Ga3SiI4
Method: DFT, PBE
State: relaxed

Values from the calculation:
Volume, Å³ per atom: 38.02
Uncorrected energy, eV per atom: -4.144
Space group: R-3m (166)
Formation energy without anion corrections, eV/atom: -0.796

Unit cell a=9.633 b=9.633 c=9.633 alpha=58.36 beta=58.36 gamma=58.36
Positions (direct):
Ac  0.236  0.236  0.236
Ac  0.238  0.734  0.734
Ac  0.266  0.266  0.762
Ac  0.266  0.762  0.266
Ac  0.734  0.238  0.734
Ac  0.734  0.734  0.238
Ac  0.762  0.266  0.266
Ac  0.764  0.764  0.764
Ga  0.000  0.000  0.500
Ga  0.000  0.500  0.000
Ga  0.500  0.000  0.000
Si  0.500  0.500  0.500
I  0.000  0.000  0.000
I  0.000  0.500  0.500
I  0.500  0.000  0.500
I  0.500  0.500  0.000

=====

Material: Ac6GaSi2I3
Method: DFT, PBE
State: relaxed

Values from the calculation:
Volume, Å³ per atom: 37.73
Uncorrected energy, eV per atom: -4.465
Space group: C2/m (12)
Formation energy without anion corrections, eV/atom: -0.867

Unit cell a=8.051 b=8.051 c=8.501 alpha=99.07 beta=99.07 gamma=120.01
Positions (direct):
Ac  0.097  0.433  0.798
Ac  0.232  0.232  0.202
Ac  0.433  0.097  0.798
Ac  0.567  0.903  0.202
Ac  0.768  0.768  0.798
Ac  0.903  0.567  0.202
Ga  0.500  0.500  0.000
Si  0.167  0.833  0.000
Si  0.833  0.167  0.000
I  0.000  0.000  0.500
I  0.333  0.667  0.500
I  0.667  0.333  0.500

=====

Material: Ac4GaTe2I
Method: DFT, PBE
State: relaxed

Values from the calculation:
Volume, Å³ per atom: 37.64
Uncorrected energy, eV per atom: -4.528
Space group: P2/m (10)
Formation energy without anion corrections, eV/atom: -1.117

Unit cell a=8.213 b=4.708 c=8.242 alpha=90.00 beta=109.12 gamma=90.00
Positions (direct):
Ac  0.233  0.000  0.226
Ac  0.245  0.500  0.772
Ac  0.755  0.500  0.228
Ac  0.767  0.000  0.774
Ga  0.000  0.500  0.000
Te  0.500  0.000  0.000
Te  0.500  0.500  0.500
I  0.000  0.000  0.500

=====

Material: AcGaTeI
Method: DFT, PBE
State: relaxed

Values from the calculation:
Volume, Å³ per atom: 32.84
Uncorrected energy, eV per atom: -3.752
Space group: F-43m (216)
Formation energy without anion corrections, eV/atom: -0.795

Unit cell a=5.706 b=5.706 c=5.706 alpha=60.00 beta=60.00 gamma=60.00
Positions (direct):
Ac  0.000  0.000  0.000
Ga  0.500  0.500  0.500
Te  0.750  0.750  0.750
I  0.250  0.250  0.250